(1)
# BeC PBE optimized geometry
# **Density of states at the Fermi level**: 0.2070 states/eV/atom
# **ΔE to the lowest computed polymorph**: 2.10 eV per formula unit
# **Raw total energy**: -5.107 eV per atom
# **Formation enthalpy at 0 K**: 1.368 eV per atom
data_BeC
_cell_length_a 2.8173
_cell_length_b 3.6285
_cell_length_c 2.7034
_cell_angle_alpha 90.00
_cell_angle_beta 90.00
_cell_angle_gamma 90.00
_space_group_name_H-M_alt 'C m m m'
_space_group_IT_number 65
_space_group_name_Hall '-C 2 2'
loop_
_atom_site_label
_atom_site_type_symbol
_atom_site_fract_x
_atom_site_fract_y
_atom_site_fract_z
_atom_site_occupancy
Be1 Be 0.0000 0.0000 0.0000 1
C1 C 0.0000 0.5000 0.5000 1



(2)
# TbTmCuHg PBE optimized geometry
# **Density of states at the Fermi level**: 0.9675 states/eV/atom
# **ΔE to the lowest computed polymorph**: 0.10 eV per formula unit
# **Raw total energy**: -3.712 eV per atom
# **Formation enthalpy at 0 K**: -0.337 eV per atom
data_TbTmCuHg
_cell_length_a 7.1897
_cell_length_b 7.1897
_cell_length_c 7.1897
_cell_angle_alpha 90.00
_cell_angle_beta 90.00
_cell_angle_gamma 90.00
_space_group_name_H-M_alt 'F -4 3 m'
_space_group_IT_number 216
_space_group_name_Hall 'F -4 2 3'
loop_
_atom_site_label
_atom_site_type_symbol
_atom_site_fract_x
_atom_site_fract_y
_atom_site_fract_z
_atom_site_occupancy
Tb1 Tb 0.0000 0.0000 0.0000 1
Tm1 Tm 0.0000 0.0000 0.5000 1
Cu1 Cu 0.2500 0.2500 0.2500 1
Hg1 Hg 0.2500 0.2500 0.7500 1



(3)
# Pm3YSc4 PBE optimized geometry
# **Density of states at the Fermi level**: 1.8976 states/eV/atom
# **Raw total energy**: -5.704 eV per atom
# **Formation enthalpy at 0 K**: 0.051 eV per atom
data_Pm3YSc4
_cell_length_a 10.9062
_cell_length_b 7.1508
_cell_length_c 5.9772
_cell_angle_alpha 90.00
_cell_angle_beta 90.00
_cell_angle_gamma 90.00
_space_group_name_H-M_alt 'P m n 21'
_space_group_IT_number 31
loop_
_space_group_symop_operation_xyz
'x,y,z'
'-x+1/2,-y,z+1/2'
'-x,y,z'
'x+1/2,-y,z+1/2'
loop_
_atom_site_label
_atom_site_type_symbol
_atom_site_fract_x
_atom_site_fract_y
_atom_site_fract_z
_atom_site_occupancy
Pm1 Pm 0.0000 0.1395 0.0000 1
Pm2 Pm 0.2483 0.8620 0.8550 1
Y1 Y 0.0000 0.8604 0.4950 1
Sc1 Sc 0.0000 0.3882 0.5093 1
Sc2 Sc 0.0000 0.6079 0.0078 1
Sc3 Sc 0.2484 0.6085 0.3413 1



(4)
# Hg4AsAuCl2 PBE optimized geometry
# **Density of states at the Fermi level**: 0.3007 states/eV/atom
# **Raw total energy**: -1.692 eV per atom
data_Hg4AsAuCl2
_cell_length_a 11.5060
_cell_length_b 11.4052
_cell_length_c 8.3938
_cell_angle_alpha 90.00
_cell_angle_beta 130.85
_cell_angle_gamma 90.00
_space_group_name_H-M_alt 'C 1 2/c 1'
_space_group_IT_number 15
loop_
_space_group_symop_operation_xyz
'x,y,z'
'-x,-y,-z'
'-x,y,-z+1/2'
'x,-y,z+1/2'
'x+1/2,y+1/2,z'
'-x+1/2,-y+1/2,-z'
'-x+1/2,y+1/2,-z+1/2'
'x+1/2,-y+1/2,z+1/2'
loop_
_atom_site_label
_atom_site_type_symbol
_atom_site_fract_x
_atom_site_fract_y
_atom_site_fract_z
_atom_site_occupancy
Hg1 Hg 0.0190 0.2463 0.0549 1
Hg2 Hg 0.2247 0.0053 0.4603 1
As1 As 0.2500 0.2500 0.5000 1
Au1 Au 0.0000 0.0000 0.0000 1
Cl1 Cl 0.0000 0.5000 0.0000 1
Cl2 Cl 0.2500 0.2500 0.0000 1



(5)
# HfNbAs PBE optimized geometry
# **Density of states at the Fermi level**: 0.3846 states/eV/atom
# **Raw total energy**: -8.785 eV per atom
# **Formation enthalpy at 0 K**: -0.561 eV per atom
data_HfNbAs
_cell_length_a 10.0550
_cell_length_b 3.4640
_cell_length_c 7.4091
_cell_angle_alpha 90.00
_cell_angle_beta 119.77
_cell_angle_gamma 90.00
_space_group_name_H-M_alt 'C 1 m 1'
_space_group_IT_number 8
loop_
_space_group_symop_operation_xyz
'x,y,z'
'x,-y,z'
'x+1/2,y+1/2,z'
'x+1/2,-y+1/2,z'
loop_
_atom_site_label
_atom_site_type_symbol
_atom_site_fract_x
_atom_site_fract_y
_atom_site_fract_z
_atom_site_occupancy
Hf1 Hf 0.0000 0.0000 0.0000 1
Hf2 Hf 0.0784 0.5000 0.6896 1
Nb1 Nb 0.2091 0.5000 0.3840 1
Nb2 Nb 0.2918 0.0000 0.0709 1
As1 As 0.3062 0.0000 0.7031 1
As2 As 0.4763 0.5000 0.3569 1



(6)
# DyGa2Tc4 PBE optimized geometry
# **Density of states at the Fermi level**: 0.6358 states/eV/atom
# **Raw total energy**: -7.707 eV per atom
# **Formation enthalpy at 0 K**: -0.262 eV per atom
data_DyGa2Tc4
_cell_length_a 4.1884
_cell_length_b 14.0977
_cell_length_c 4.1871
_cell_angle_alpha 90.00
_cell_angle_beta 90.00
_cell_angle_gamma 90.00
_space_group_name_H-M_alt 'C m m m'
_space_group_IT_number 65
_space_group_name_Hall '-C 2 2'
loop_
_atom_site_label
_atom_site_type_symbol
_atom_site_fract_x
_atom_site_fract_y
_atom_site_fract_z
_atom_site_occupancy
Dy1 Dy 0.0000 0.0000 0.0000 1
Ga1 Ga 0.0000 0.4125 0.5000 1
Tc1 Tc 0.0000 0.1982 0.5000 1
Tc2 Tc 0.0000 0.3011 0.0000 1



(7)
# Tm2Ga3Ge PBE optimized geometry
# **Density of states at the Fermi level**: 0.4823 states/eV/atom
# **Raw total energy**: -4.362 eV per atom
# **Formation enthalpy at 0 K**: -0.588 eV per atom
data_Tm2Ga3Ge
_cell_length_a 10.6842
_cell_length_b 4.1704
_cell_length_c 6.8449
_cell_angle_alpha 90.00
_cell_angle_beta 128.67
_cell_angle_gamma 90.00
_space_group_name_H-M_alt 'C 1 m 1'
_space_group_IT_number 8
loop_
_space_group_symop_operation_xyz
'x,y,z'
'x,-y,z'
'x+1/2,y+1/2,z'
'x+1/2,-y+1/2,z'
loop_
_atom_site_label
_atom_site_type_symbol
_atom_site_fract_x
_atom_site_fract_y
_atom_site_fract_z
_atom_site_occupancy
Tm1 Tm 0.0000 0.0000 0.0000 1
Tm2 Tm 0.1307 0.0000 0.6350 1
Ga1 Ga 0.2170 0.5000 0.4137 1
Ga2 Ga 0.2282 0.5000 0.0310 1
Ga3 Ga 0.4067 0.0000 0.2149 1
Ge1 Ge 0.4129 0.0000 0.6225 1



(8)
# Y6Tm8Mg PBE optimized geometry
# **Density of states at the Fermi level**: 1.3977 states/eV/atom
# **Raw total energy**: -4.827 eV per atom
# **Formation enthalpy at 0 K**: 0.249 eV per atom
data_Y6Tm8Mg
_cell_length_a 9.2426
_cell_length_b 9.2426
_cell_length_c 6.5683
_cell_angle_alpha 90.00
_cell_angle_beta 90.00
_cell_angle_gamma 120.00
_space_group_name_H-M_alt 'P -3'
_space_group_IT_number 147
loop_
_space_group_symop_operation_xyz
'x,y,z'
'-x,-y,-z'
'-y,x-y,z'
'y,-x+y,-z'
'-x+y,-x,z'
'x-y,x,-z'
loop_
_atom_site_label
_atom_site_type_symbol
_atom_site_fract_x
_atom_site_fract_y
_atom_site_fract_z
_atom_site_occupancy
Y1 Y 0.0954 0.6826 0.4021 1
Tm1 Tm 0.0168 0.3318 0.1022 1
Tm2 Tm 0.3333 0.6667 0.8381 1
Mg1 Mg 0.0000 0.0000 0.5000 1



(9)
# KGe PBE optimized geometry
# **Density of states at the Fermi level**: 0.5121 states/eV/atom
# **ΔE to the lowest computed polymorph**: 0.35 eV per formula unit
# **Raw total energy**: -2.895 eV per atom
# **Formation enthalpy at 0 K**: -0.038 eV per atom
data_KGe
_cell_length_a 11.9062
_cell_length_b 11.9062
_cell_length_c 4.1194
_cell_angle_alpha 90.00
_cell_angle_beta 90.00
_cell_angle_gamma 90.00
_space_group_name_H-M_alt 'P 4/m'
_space_group_IT_number 83
loop_
_space_group_symop_operation_xyz
'x,y,z'
'-x,-y,-z'
'-y,x,z'
'y,-x,-z'
'-x,-y,z'
'x,y,-z'
'y,-x,z'
'-y,x,-z'
loop_
_atom_site_label
_atom_site_type_symbol
_atom_site_fract_x
_atom_site_fract_y
_atom_site_fract_z
_atom_site_occupancy
K1 K 0.0710 0.7637 0.0000 1
K2 K 0.3000 0.6028 0.5000 1
Ge1 Ge 0.0718 0.4228 0.5000 1
Ge2 Ge 0.1852 0.3804 0.0000 1



(10)
# LiHgSe2 PBE optimized geometry
# **Density of states at the Fermi level**: 0.6541 states/eV/atom
# **Raw total energy**: -2.679 eV per atom
data_LiHgSe2
_cell_length_a 5.4020
_cell_length_b 5.4020
_cell_length_c 14.0989
_cell_angle_alpha 90.00
_cell_angle_beta 90.00
_cell_angle_gamma 90.00
_space_group_name_H-M_alt 'I -4 2 d'
_space_group_IT_number 122
_space_group_name_Hall 'I -4 2bw'
loop_
_atom_site_label
_atom_site_type_symbol
_atom_site_fract_x
_atom_site_fract_y
_atom_site_fract_z
_atom_site_occupancy
Li1 Li 0.0000 0.0000 0.0000 1
Hg1 Hg 0.0000 0.0000 0.5000 1
Se1 Se 0.2185 0.2500 0.1250 1



(11)
# Mg5ScTl8 PBE optimized geometry
# **Density of states at the Fermi level**: 0.2726 states/eV/atom
# **Raw total energy**: -2.362 eV per atom
# **Formation enthalpy at 0 K**: 0.012 eV per atom
data_Mg5ScTl8
_cell_length_a 9.0169
_cell_length_b 9.0169
_cell_length_c 9.0081
_cell_angle_alpha 90.00
_cell_angle_beta 90.00
_cell_angle_gamma 90.00
_space_group_name_H-M_alt 'I -4'
_space_group_IT_number 82
loop_
_space_group_symop_operation_xyz
'x,y,z'
'y,-x,-z'
'-x,-y,z'
'-y,x,-z'
'x+1/2,y+1/2,z+1/2'
'y+1/2,-x+1/2,-z+1/2'
'-x+1/2,-y+1/2,z+1/2'
'-y+1/2,x+1/2,-z+1/2'
loop_
_atom_site_label
_atom_site_type_symbol
_atom_site_fract_x
_atom_site_fract_y
_atom_site_fract_z
_atom_site_occupancy
Mg1 Mg 0.0000 0.0000 0.0000 1
Mg2 Mg 0.1191 0.7869 0.3966 1
Sc1 Sc 0.0000 0.5000 0.7500 1
Tl1 Tl 0.0664 0.6673 0.0700 1
Tl2 Tl 0.0964 0.8211 0.7287 1



(12)
# CaWBr4 PBE optimized geometry
# **Density of states at the Fermi level**: 1.3068 states/eV/atom
# **Raw total energy**: -2.797 eV per atom
data_CaWBr4
_cell_length_a 8.9615
_cell_length_b 8.9615
_cell_length_c 8.9615
_cell_angle_alpha 90.00
_cell_angle_beta 90.00
_cell_angle_gamma 90.00
_space_group_name_H-M_alt 'F -4 3 m'
_space_group_IT_number 216
_space_group_name_Hall 'F -4 2 3'
loop_
_atom_site_label
_atom_site_type_symbol
_atom_site_fract_x
_atom_site_fract_y
_atom_site_fract_z
_atom_site_occupancy
Ca1 Ca 0.0000 0.0000 0.0000 1
W1 W 0.2500 0.2500 0.7500 1
Br1 Br 0.1251 0.1251 0.3749 1



(13)
# AcDy3S PBE optimized geometry
# **Density of states at the Fermi level**: 1.7153 states/eV/atom
# **Raw total energy**: -5.064 eV per atom
data_AcDy3S
_cell_length_a 5.3906
_cell_length_b 5.3906
_cell_length_c 5.3906
_cell_angle_alpha 90.00
_cell_angle_beta 90.00
_cell_angle_gamma 90.00
_space_group_name_H-M_alt 'P m -3 m'
_space_group_IT_number 221
_space_group_name_Hall '-P 4 2 3'
loop_
_atom_site_label
_atom_site_type_symbol
_atom_site_fract_x
_atom_site_fract_y
_atom_site_fract_z
_atom_site_occupancy
Ac1 Ac 0.0000 0.0000 0.0000 1
Dy1 Dy 0.0000 0.5000 0.5000 1
S1 S 0.5000 0.5000 0.5000 1



(14)
# K2Rb2Ba PBE optimized geometry
# **Density of states at the Fermi level**: 1.0889 states/eV/atom
# **ΔE to the lowest computed polymorph**: 0.00 eV per formula unit
# **Raw total energy**: -1.099 eV per atom
# **Formation enthalpy at 0 K**: 0.112 eV per atom
data_K2Rb2Ba
_cell_length_a 12.5160
_cell_length_b 12.5160
_cell_length_c 4.9126
_cell_angle_alpha 90.00
_cell_angle_beta 90.00
_cell_angle_gamma 90.00
_space_group_name_H-M_alt 'P 4/m b m'
_space_group_IT_number 127
_space_group_name_Hall '-P 4 2ab'
loop_
_atom_site_label
_atom_site_type_symbol
_atom_site_fract_x
_atom_site_fract_y
_atom_site_fract_z
_atom_site_occupancy
K1 K 0.1276 0.3724 0.0000 1
Rb1 Rb 0.1740 0.6740 0.5000 1
Ba1 Ba 0.0000 0.0000 0.0000 1



(15)
# Zr2Sc2Al PBE optimized geometry
# **Density of states at the Fermi level**: 1.1639 states/eV/atom
# **ΔE to the lowest computed polymorph**: 0.00 eV per formula unit
# **Raw total energy**: -6.669 eV per atom
# **Formation enthalpy at 0 K**: 0.032 eV per atom
data_Zr2Sc2Al
_cell_length_a 7.4399
_cell_length_b 7.4399
_cell_length_c 4.1284
_cell_angle_alpha 90.00
_cell_angle_beta 90.00
_cell_angle_gamma 90.00
_space_group_name_H-M_alt 'P 4/m b m'
_space_group_IT_number 127
_space_group_name_Hall '-P 4 2ab'
loop_
_atom_site_label
_atom_site_type_symbol
_atom_site_fract_x
_atom_site_fract_y
_atom_site_fract_z
_atom_site_occupancy
Zr1 Zr 0.1433 0.3567 0.0000 1
Sc1 Sc 0.1568 0.6568 0.5000 1
Al1 Al 0.0000 0.0000 0.0000 1



(16)
# Sc6TaO12 PBE optimized geometry
# **Density of states at the Fermi level**: 0.7784 states/eV/atom
# **Raw total energy**: -9.037 eV per atom
data_Sc6TaO12
_cell_length_a 9.3690
_cell_length_b 9.3690
_cell_length_c 8.8046
_cell_angle_alpha 90.00
_cell_angle_beta 90.00
_cell_angle_gamma 120.00
_space_group_name_H-M_alt 'R -3'
_space_group_IT_number 148
_space_group_name_Hall '-R 3'
loop_
_atom_site_label
_atom_site_type_symbol
_atom_site_fract_x
_atom_site_fract_y
_atom_site_fract_z
_atom_site_occupancy
Sc1 Sc 0.0335 0.2502 0.1412 1
Ta1 Ta 0.0000 0.0000 0.5000 1
O1 O 0.0231 0.1915 0.3793 1
O2 O 0.0250 0.2142 0.8937 1



(17)
# Er2TmPaC4 PBE optimized geometry
# **Density of states at the Fermi level**: 1.1642 states/eV/atom
# **Raw total energy**: -7.755 eV per atom
# **Formation enthalpy at 0 K**: -0.256 eV per atom
data_Er2TmPaC4
_cell_length_a 6.1600
_cell_length_b 3.5636
_cell_length_c 6.1671
_cell_angle_alpha 90.00
_cell_angle_beta 109.97
_cell_angle_gamma 90.00
_space_group_name_H-M_alt 'P 1 2/m 1'
_space_group_IT_number 10
loop_
_space_group_symop_operation_xyz
'x,y,z'
'-x,-y,-z'
'-x,y,-z'
'x,-y,z'
loop_
_atom_site_label
_atom_site_type_symbol
_atom_site_fract_x
_atom_site_fract_y
_atom_site_fract_z
_atom_site_occupancy
Er1 Er 0.0000 0.0000 0.0000 1
Er2 Er 0.5000 0.5000 0.0000 1
Tm1 Tm 0.0000 0.5000 0.5000 1
Pa1 Pa 0.5000 0.0000 0.5000 1
C1 C 0.2542 0.0000 0.7438 1
C2 C 0.2649 0.5000 0.2659 1



(18)
# PuTh5Bi6 PBE optimized geometry
# **Density of states at the Fermi level**: 1.7678 states/eV/atom
# **Raw total energy**: -6.773 eV per atom
# **Formation enthalpy at 0 K**: -0.546 eV per atom
data_PuTh5Bi6
_cell_length_a 7.9498
_cell_length_b 13.7552
_cell_length_c 7.9661
_cell_angle_alpha 90.00
_cell_angle_beta 109.44
_cell_angle_gamma 90.00
_space_group_name_H-M_alt 'C 1 2/m 1'
_space_group_IT_number 12
loop_
_space_group_symop_operation_xyz
'x,y,z'
'-x,-y,-z'
'-x,y,-z'
'x,-y,z'
'x+1/2,y+1/2,z'
'-x+1/2,-y+1/2,-z'
'-x+1/2,y+1/2,-z'
'x+1/2,-y+1/2,z'
loop_
_atom_site_label
_atom_site_type_symbol
_atom_site_fract_x
_atom_site_fract_y
_atom_site_fract_z
_atom_site_occupancy
Pu1 Pu 0.0000 0.0000 0.0000 1
Th1 Th 0.0000 0.1677 0.5000 1
Th2 Th 0.0000 0.3337 0.0000 1
Th3 Th 0.0000 0.5000 0.5000 1
Bi1 Bi 0.2475 0.0000 0.7508 1
Bi2 Bi 0.2480 0.1654 0.2482 1



(19)
# SiAgAu PBE optimized geometry
# **Density of states at the Fermi level**: 0.4749 states/eV/atom
# **ΔE to the lowest computed polymorph**: 0.17 eV per formula unit
# **Raw total energy**: -3.686 eV per atom
data_SiAgAu
_cell_length_a 3.0722
_cell_length_b 3.0722
_cell_length_c 6.3455
_cell_angle_alpha 90.00
_cell_angle_beta 90.00
_cell_angle_gamma 120.00
_space_group_name_H-M_alt 'P 3 m 1'
_space_group_IT_number 156
loop_
_space_group_symop_operation_xyz
'x,y,z'
'-y,x-y,z'
'-x+y,-x,z'
'-y,-x,z'
'-x+y,y,z'
'x,x-y,z'
loop_
_atom_site_label
_atom_site_type_symbol
_atom_site_fract_x
_atom_site_fract_y
_atom_site_fract_z
_atom_site_occupancy
Si1 Si 0.0000 0.0000 0.0000 1
Ag1 Ag 0.6667 0.3333 0.3277 1
Au1 Au 0.3333 0.6667 0.6997 1